Entry 1:
Ca2VTcNi | the Alexandria database | PBE | relaxed; symmetry = P4/mmm, No. 123; energy = -4.7470 eV/atom; crystal system = tetragonal; calculated density = 3.665 g/cm³; N(E_F) = 7.56 states/eV/f.u.
1.0
5.552 0.000 0.000
0.000 5.552 0.000
0.000 0.000 4.230
Ca V Tc Ni
2 1 1 1
Direct
0.000 0.500 0.000
0.500 0.000 0.000
0.000 0.000 0.000
0.000 0.000 0.500
0.500 0.500 0.500

Entry 2:
LiZr2Rh | the Alexandria database | PBE | relaxed; symmetry = I-42d, No. 122; energy = -6.5802 eV/atom; crystal system = tetragonal; calculated density = 6.036 g/cm³; N(E_F) = 1.61 states/eV/f.u.
1.0
7.480 0.000 0.000
0.000 7.480 0.000
0.000 0.000 5.748
Li Zr Rh
4 8 4
Direct
0.000 0.000 0.000
0.000 0.500 0.250
0.500 0.000 0.750
0.500 0.500 0.500
0.217 0.250 0.625
0.250 0.717 0.875
0.250 0.783 0.375
0.283 0.250 0.125
0.717 0.750 0.125
0.750 0.217 0.375
0.750 0.283 0.875
0.783 0.750 0.625
0.000 0.000 0.500
0.000 0.500 0.750
0.500 0.000 0.250
0.500 0.500 0.000

Entry 3:
BeRu4Rh | the Alexandria database | PBE | relaxed; symmetry = F-43m, No. 216; energy = -7.3535 eV/atom; crystal system = cubic; calculated density = 9.595 g/cm³; N(E_F) = 9.82 states/eV/f.u.
1.0
0.000 3.548 3.548
3.548 0.000 3.548
3.548 3.548 0.000
Be Ru Rh
1 4 1
Direct
0.000 0.000 0.000
0.375 0.375 0.375
0.375 0.375 0.875
0.375 0.875 0.375
0.875 0.375 0.375
0.750 0.750 0.750

no.,ΔH_f (0 K) (eV per atom)
1,1.107
2,0.010
3,0.677